# VOsS2 PBE relaxed
data_VOsS2
_chemical_formula_sum 'V4 Os4 S8'
_cell_length_a 5.904
_cell_length_b 5.904
_cell_length_c 5.904
_cell_angle_alpha 90.00
_cell_angle_beta 90.00
_cell_angle_gamma 90.00
_symmetry_space_group_name_H-M 'F m -3 m'
_symmetry_Int_Tables_number 225
_symmetry_space_group_name_Hall '-F 4 2 3'
loop_
_atom_site_label
_atom_site_type_symbol
_atom_site_fract_x
_atom_site_fract_y
_atom_site_fract_z
V1 V 0.000 0.000 0.000
Os1 Os 0.000 0.000 0.500
S1 S 0.250 0.250 0.250
# excess energy over the best structure of this formula in the dataset	0.375	eV per atom
# E_form (uncorrected)	52	meV per atom